MgZn2Cu: relaxed, GGA-PBE.

total DFT energy (no corrections): -1.9930 eV/atom
density: 5.8 Mg/m³
crystal system: trigonal
formation enthalpy at 0 K: 67 meV per atom

Unit cell a=9.1300 b=9.1300 c=9.1300 alpha=17.90 beta=17.90 gamma=17.90
Closest atoms and distances in Å follow each position.
Element x y z (fractional)
Mg  0.0000  0.0000  0.0000  3 Cu 2.73, 6 Mg 2.84, 3 Zn 2.96
Zn  0.2419  0.2419  0.2419  9 Zn 2.84, 3 Mg 2.96
Zn  0.4891  0.4891  0.4891  3 Cu 2.60, 9 Zn 2.84
Cu  0.7476  0.7476  0.7476  3 Zn 2.60, 3 Mg 2.73, 6 Cu 2.84

Mg2Zn2Cu: relaxed, GGA-PBE.

total DFT energy (no corrections): -2.0690 eV/atom
density: 4.8 Mg/m³
crystal system: monoclinic
formation enthalpy at 0 K: -102 meV per atom

Unit cell a=5.3383 b=5.3383 c=7.1525 alpha=106.82 beta=106.82 gamma=60.66
Closest atoms and distances in Å follow each position.
Element x y z (fractional)
Mg  0.0486  0.2817  0.1372  6 Zn 2.77-3.01, 3 Cu 2.80-2.98
Mg  0.2817  0.0486  0.6372  6 Zn 2.77-3.01, 3 Cu 2.80-2.98
Mg  0.7183  0.9514  0.3628  6 Zn 2.77-3.01, 3 Cu 2.80-2.98
Mg  0.9514  0.7183  0.8628  6 Zn 2.77-3.01, 3 Cu 2.80-2.98
Zn  0.2497  0.5226  0.5250  2 Cu 2.55-2.57, 2 Zn 2.68-2.71, 4 Mg 2.77-2.84
Zn  0.4774  0.7503  0.9750  2 Cu 2.55-2.57, 2 Zn 2.68-2.71, 4 Mg 2.77-2.84
Zn  0.5226  0.2497  0.0250  2 Cu 2.55-2.57, 2 Zn 2.68-2.71, 4 Mg 2.77-2.84
Zn  0.7503  0.4774  0.4750  2 Cu 2.55-2.57, 2 Zn 2.68-2.71, 4 Mg 2.77-2.84
Cu  0.2691  0.7309  0.2500  4 Zn 2.55-2.57, 4 Mg 2.80-2.85
Cu  0.7309  0.2691  0.7500  4 Zn 2.55-2.57, 4 Mg 2.80-2.85

MgZnCu2: relaxed, GGA-PBE.

total DFT energy (no corrections): -2.8588 eV/atom
density: 5.9 Mg/m³
crystal system: hexagonal
formation enthalpy at 0 K: -94 meV per atom

Unit cell a=4.1973 b=4.1973 c=7.9363 alpha=90.00 beta=90.00 gamma=120.00
Closest atoms and distances in Å follow each position.
Element x y z (fractional)
Mg  0.3333  0.6667  0.2500  8 Cu 2.67-2.75
Mg  0.6667  0.3333  0.7500  8 Cu 2.67-2.75
Zn  0.0000  0.0000  0.0000  6 Cu 2.52
Zn  0.0000  0.0000  0.5000  6 Cu 2.52
Cu  0.3333  0.6667  0.5863  3 Zn 2.52, 4 Cu 2.60-2.78, 4 Mg 2.67-2.75
Cu  0.3333  0.6667  0.9137  3 Zn 2.52, 4 Cu 2.60-2.78, 4 Mg 2.67-2.75
Cu  0.6667  0.3333  0.0863  3 Zn 2.52, 4 Cu 2.60-2.78, 4 Mg 2.67-2.75
Cu  0.6667  0.3333  0.4137  3 Zn 2.52, 4 Cu 2.60-2.78, 4 Mg 2.67-2.75

MgZnCu: relaxed, GGA-PBE.

total DFT energy (no corrections): -2.1765 eV/atom
density: 4.7 Mg/m³
crystal system: cubic
formation enthalpy at 0 K: 145 meV per atom

Unit cell a=4.2527 b=4.2527 c=4.2527 alpha=60.00 beta=60.00 gamma=60.00
Closest atoms and distances in Å follow each position.
Element x y z (fractional)
Mg  0.0000  0.0000  0.0000  4 Zn 2.60
Zn  0.7500  0.7500  0.7500  4 Mg 2.60, 4 Cu 2.60
Cu  0.5000  0.5000  0.5000  4 Zn 2.60

MgZn9Cu2: relaxed, GGA-PBE.

total DFT energy (no corrections): -1.8091 eV/atom
density: 6.6 Mg/m³
crystal system: tetragonal
formation enthalpy at 0 K: -38 meV per atom

Unit cell a=8.1579 b=8.1579 c=8.1579 alpha=99.79 beta=99.79 gamma=131.30
Closest atoms and distances in Å follow each position.
Element x y z (fractional)
Mg  0.3750  0.6250  0.7500  18 Zn 3.24-3.38
Mg  0.6250  0.3750  0.2500  18 Zn 3.24-3.38
Zn  0.1250  0.8750  0.2500  4 Cu 2.76, 8 Zn 2.82
Zn  0.1358  0.5604  0.3336  2 Cu 2.54-2.58, 6 Zn 2.54-2.82
Zn  0.1358  0.8022  0.5754  2 Cu 2.54-2.58, 6 Zn 2.54-2.82
Zn  0.1978  0.2732  0.3336  2 Cu 2.54-2.58, 6 Zn 2.54-2.82
Zn  0.1978  0.8642  0.9246  2 Cu 2.54-2.58, 6 Zn 2.54-2.82
Zn  0.2732  0.1978  0.8336  2 Cu 2.54-2.58, 6 Zn 2.54-2.82
Zn  0.2732  0.4396  0.0754  2 Cu 2.54-2.58, 6 Zn 2.54-2.82
Zn  0.4396  0.2732  0.5754  2 Cu 2.54-2.58, 6 Zn 2.54-2.82
Zn  0.4396  0.8642  0.1664  2 Cu 2.54-2.58, 6 Zn 2.54-2.82
Zn  0.5604  0.1358  0.8336  2 Cu 2.54-2.58, 6 Zn 2.54-2.82
Zn  0.5604  0.7268  0.4246  2 Cu 2.54-2.58, 6 Zn 2.54-2.82
Zn  0.7268  0.5604  0.9246  2 Cu 2.54-2.58, 6 Zn 2.54-2.82
Zn  0.7268  0.8022  0.1664  2 Cu 2.54-2.58, 6 Zn 2.54-2.82
Zn  0.8022  0.1358  0.0754  2 Cu 2.54-2.58, 6 Zn 2.54-2.82
Zn  0.8022  0.7268  0.6664  2 Cu 2.54-2.58, 6 Zn 2.54-2.82
Zn  0.8642  0.1978  0.4246  2 Cu 2.54-2.58, 6 Zn 2.54-2.82
Zn  0.8642  0.4396  0.6664  2 Cu 2.54-2.58, 6 Zn 2.54-2.82
Zn  0.8750  0.1250  0.7500  4 Cu 2.76, 8 Zn 2.82
Cu  0.0000  0.0000  0.0000  10 Zn 2.54-2.76
Cu  0.0000  0.0000  0.5000  10 Zn 2.54-2.76
Cu  0.0000  0.5000  0.0000  10 Zn 2.54-2.76
Cu  0.5000  0.0000  0.5000  10 Zn 2.54-2.76

MgZnCu: relaxed, GGA-PBE.

total DFT energy (no corrections): -2.3061 eV/atom
density: 5.2 Mg/m³
crystal system: orthorhombic
formation enthalpy at 0 K: 15 meV per atom

Unit cell a=2.7955 b=4.8382 c=7.2296 alpha=90.00 beta=90.00 gamma=90.00
Closest atoms and distances in Å follow each position.
Element x y z (fractional)
Mg  0.0000  0.1508  0.0000  3 Cu 2.64-2.71, 2 Mg 2.80, 2 Zn 2.94
Mg  0.0000  0.8492  0.5000  3 Cu 2.64-2.71, 2 Mg 2.80, 2 Zn 2.94
Zn  0.5000  0.3366  0.3517  4 Cu 2.54-2.57, 2 Zn 2.80
Zn  0.5000  0.6634  0.8517  4 Cu 2.54-2.57, 2 Zn 2.80
Cu  0.0000  0.3465  0.6495  4 Zn 2.54-2.57, 3 Mg 2.64-2.71, 2 Cu 2.80
Cu  0.0000  0.6535  0.1495  4 Zn 2.54-2.57, 3 Mg 2.64-2.71, 2 Cu 2.80

MgZn2Cu2: relaxed, GGA-PBE.

total DFT energy (no corrections): -2.3193 eV/atom
density: 5.8 Mg/m³
crystal system: orthorhombic
formation enthalpy at 0 K: 148 meV per atom

Unit cell a=6.2894 b=6.2894 c=6.2894 alpha=114.35 beta=85.30 gamma=132.04
Closest atoms and distances in Å follow each position.
Element x y z (fractional)
Mg  0.2500  0.2500  0.0000  2 Mg 2.56, 4 Zn 2.84
Mg  0.7500  0.7500  0.0000  2 Mg 2.56, 4 Zn 2.84
Zn  0.0832  0.6455  0.7288  3 Cu 2.38-2.54, 1 Zn 2.51
Zn  0.4168  0.1455  0.5623  3 Cu 2.38-2.54, 1 Zn 2.51
Zn  0.5832  0.8545  0.4377  3 Cu 2.38-2.54, 1 Zn 2.51
Zn  0.9168  0.3545  0.2712  3 Cu 2.38-2.54, 1 Zn 2.51
Cu  0.1858  0.3006  0.4864  3 Zn 2.38-2.54
Cu  0.3142  0.8006  0.1147  3 Zn 2.38-2.54
Cu  0.6858  0.1994  0.8853  3 Zn 2.38-2.54
Cu  0.8142  0.6994  0.5136  3 Zn 2.38-2.54

MgZnCu14: relaxed, GGA-PBE.

total DFT energy (no corrections): -3.7786 eV/atom
density: 8.2 Mg/m³
crystal system: orthorhombic
formation enthalpy at 0 K: -15 meV per atom

Unit cell a=8.4473 b=5.1997 c=5.1997 alpha=60.40 beta=90.00 gamma=90.00
Closest atoms and distances in Å follow each position.
Element x y z (fractional)
Mg  0.0000  0.0000  0.0000  10 Cu 2.60-2.65, 2 Zn 2.62
Zn  0.0000  0.5011  0.5011  10 Cu 2.58-2.63, 2 Mg 2.62
Cu  0.0000  0.5009  0.9974  2 Zn 2.58-2.62, 8 Cu 2.59-2.63, 2 Mg 2.60
Cu  0.0000  0.9974  0.5009  2 Zn 2.58-2.62, 8 Cu 2.59-2.63, 2 Mg 2.60
Cu  0.2490  0.3316  0.3316  11 Cu 2.59-2.62, 1 Zn 2.60
Cu  0.2561  0.8308  0.8308  11 Cu 2.54-2.63, 1 Mg 2.64
Cu  0.2566  0.3358  0.8318  10 Cu 2.54-2.64, 1 Zn 2.63, 1 Mg 2.65
Cu  0.2566  0.8318  0.3358  10 Cu 2.54-2.64, 1 Zn 2.63, 1 Mg 2.65
Cu  0.5000  0.1661  0.1661  12 Cu 2.55-2.62
Cu  0.5000  0.1667  0.6633  12 Cu 2.56-2.63
Cu  0.5000  0.6633  0.1667  12 Cu 2.56-2.63
Cu  0.5000  0.6654  0.6654  12 Cu 2.54-2.62
Cu  0.7434  0.3358  0.8318  10 Cu 2.54-2.64, 1 Zn 2.63, 1 Mg 2.65
Cu  0.7434  0.8318  0.3358  10 Cu 2.54-2.64, 1 Zn 2.63, 1 Mg 2.65
Cu  0.7439  0.8308  0.8308  11 Cu 2.54-2.63, 1 Mg 2.64
Cu  0.7510  0.3316  0.3316  11 Cu 2.59-2.62, 1 Zn 2.60

MgZnCu2: relaxed, GGA-PBE.

total DFT energy (no corrections): -2.7440 eV/atom
density: 5.9 Mg/m³
crystal system: hexagonal
formation enthalpy at 0 K: 21 meV per atom

Unit cell a=4.4100 b=4.4100 c=7.2009 alpha=90.00 beta=90.00 gamma=120.00
Closest atoms and distances in Å follow each position.
Element x y z (fractional)
Mg  0.0000  0.0000  0.2500  3 Zn 2.55, 6 Cu 2.82
Mg  0.0000  0.0000  0.7500  3 Zn 2.55, 6 Cu 2.82
Zn  0.3333  0.6667  0.2500  2 Cu 2.39, 3 Mg 2.55
Zn  0.6667  0.3333  0.7500  2 Cu 2.39, 3 Mg 2.55
Cu  0.3333  0.6667  0.5822  1 Zn 2.39, 1 Cu 2.42
Cu  0.3333  0.6667  0.9178  1 Zn 2.39, 1 Cu 2.42
Cu  0.6667  0.3333  0.0822  1 Zn 2.39, 1 Cu 2.42
Cu  0.6667  0.3333  0.4178  1 Zn 2.39, 1 Cu 2.42

Mg2ZnCu2: relaxed, GGA-PBE.

total DFT energy (no corrections): -2.4717 eV/atom
density: 4.6 Mg/m³
crystal system: tetragonal
formation enthalpy at 0 K: 59 meV per atom

Unit cell a=8.1809 b=8.1809 c=8.1809 alpha=156.38 beta=156.38 gamma=33.65
Closest atoms and distances in Å follow each position.
Element x y z (fractional)
Mg  0.1102  0.1102  0.0000  4 Cu 2.76, 4 Zn 2.93
Mg  0.8898  0.8898  0.0000  4 Cu 2.76, 4 Zn 2.93
Zn  0.5000  0.5000  0.0000  8 Mg 2.93
Cu  0.2500  0.7500  0.5000  4 Cu 2.37
Cu  0.7500  0.2500  0.5000  4 Cu 2.37

MgZn2Cu2: relaxed, GGA-PBE.

total DFT energy (no corrections): -2.3710 eV/atom
density: 5.8 Mg/m³
crystal system: trigonal
formation enthalpy at 0 K: 96 meV per atom

Unit cell a=4.3619 b=4.3619 c=4.9333 alpha=90.00 beta=90.00 gamma=120.00
Closest atoms and distances in Å follow each position.
Element x y z (fractional)
Mg  0.0000  0.0000  0.0000  6 Zn 2.70, 6 Cu 2.96
Zn  0.3333  0.6667  0.1955  5 Cu 2.40-2.59
Zn  0.6667  0.3333  0.8045  5 Cu 2.40-2.59
Cu  0.3333  0.6667  0.6829  5 Zn 2.40-2.59
Cu  0.6667  0.3333  0.3171  5 Zn 2.40-2.59

MgZnCu: relaxed, GGA-PBE.

total DFT energy (no corrections): -2.3921 eV/atom
density: 5.3 Mg/m³
crystal system: monoclinic
formation enthalpy at 0 K: -71 meV per atom

Unit cell a=7.6730 b=5.2009 c=5.0788 alpha=90.00 beta=109.26 gamma=90.00
Closest atoms and distances in Å follow each position.
Element x y z (fractional)
Mg  0.1250  0.0623  0.3134  5 Cu 2.68-2.87, 2 Zn 2.90
Mg  0.1250  0.4377  0.8134  5 Cu 2.68-2.87, 2 Zn 2.90
Mg  0.8750  0.5623  0.1866  5 Cu 2.68-2.87, 2 Zn 2.90
Mg  0.8750  0.9377  0.6866  5 Cu 2.68-2.87, 2 Zn 2.90
Zn  0.4587  0.2494  0.7291  4 Zn 2.54-2.67, 4 Cu 2.57-2.59
Zn  0.4587  0.2506  0.2291  4 Zn 2.54-2.67, 4 Cu 2.57-2.59
Zn  0.5413  0.7494  0.7709  4 Zn 2.54-2.67, 4 Cu 2.57-2.59
Zn  0.5413  0.7506  0.2709  4 Zn 2.54-2.67, 4 Cu 2.57-2.59
Cu  0.2580  0.5812  0.3798  4 Zn 2.57-2.59, 5 Mg 2.68-2.87
Cu  0.2580  0.9188  0.8798  4 Zn 2.57-2.59, 5 Mg 2.68-2.87
Cu  0.7420  0.0812  0.1202  4 Zn 2.57-2.59, 5 Mg 2.68-2.87
Cu  0.7420  0.4188  0.6202  4 Zn 2.57-2.59, 5 Mg 2.68-2.87

Q: Which formula does entry 3 have?
A: MgZnCu2